Density functional theory data (PBE-GGA) for a relaxed CrInTc2 crystal.

Output
Space-group type: Pm, No. 6
Formation energy, meV/atom: 272
Mass density, g cm⁻³: 9.52
Magnetic moment, μB per formula unit: 0.49

Unit cell a=3.899 b=2.872 c=6.342 alpha=62.98 beta=90.00 gamma=90.00
Last column: magnetic moment on the atom in μB.
Positions (direct):
Cr: 0.000 0.553 0.451  0.53
In: 0.500 0.753 0.747  -0.01
Tc: 0.000 0.952 0.046  -0.02
Tc: 0.500 0.242 0.256  -0.05


Density functional theory data (PBE-GGA) for a relaxed CrInTc2 crystal.

Output
Space-group type: I-4m2, No. 119
Formation energy, meV/atom: 366
Mass density, g cm⁻³: 9.67
Magnetic moment, μB per formula unit: 2.00

Unit cell a=4.899 b=4.899 c=4.899 alpha=132.70 beta=132.70 gamma=69.12
Last column: magnetic moment on the atom in μB.
Positions (direct):
Cr: 0.500 0.500 0.000  2.30
In: 0.750 0.250 0.500  -0.02
Tc: 0.000 0.000 0.000  -0.08
Tc: 0.250 0.750 0.500  -0.33


Density functional theory data (PBE-GGA) for a relaxed Cr2InTc crystal.

Output
Space-group type: P4mm, No. 99
Formation energy, meV/atom: 229
Mass density, g cm⁻³: 8.68
Magnetic moment, μB per formula unit: 1.91

Unit cell a=2.974 b=2.974 c=6.856 alpha=90.00 beta=90.00 gamma=90.00
Last column: magnetic moment on the atom in μB.
Positions (direct):
Cr: 0.000 0.000 0.004  -1.06
Cr: 0.500 0.500 0.206  2.29
In: 0.000 0.000 0.497  -0.03
Tc: 0.500 0.500 0.793  0.54


Density functional theory data (PBE-GGA) for a relaxed CrInTc2 crystal.

Output
Space-group type: Cmmm, No. 65
Formation energy, meV/atom: 364
Mass density, g cm⁻³: 9.66
Magnetic moment, μB per formula unit: 0.20

Unit cell a=2.789 b=2.789 c=8.717 alpha=90.00 beta=90.00 gamma=113.17
Last column: magnetic moment on the atom in μB.
Positions (direct):
Cr: 0.500 0.500 0.250  0.27
In: 0.500 0.500 0.750  0.00
Tc: 0.000 0.000 0.028  -0.04
Tc: 0.000 0.000 0.472  -0.04


Record-wise V values, in Å³/atom: 15.82; 15.58; 15.16; 15.59